[1]
## Co2BiN (GGA-PBE)

Data for Co2BiN after structural relaxation.

- ΔE to the lowest computed polymorph: 991.4 meV per atom
- Density: 10.433 g/cm3
- Space-group type: Fm-3m (225)
- Raw formation energy: 1.22 eV per atom
- Volume: 54 Å³ per cell
- E_tot: -0.198 Ha/atom

a = 4.249 Å, b = 4.249 Å, c = 4.249 Å
α = 60.00°, β = 60.00°, γ = 60.00°
Positions (direct):
Co (0.750, 0.750, 0.750)
Co (0.250, 0.250, 0.250)
N (0.000, 0.000, 0.000)
Bi (0.500, 0.500, 0.500)

[2]
## NaLi10Ag2 (GGA-PBE)

Data for NaLi10Ag2 after structural relaxation.

- Density: 1.915 g/cm3
- Space-group type: Fmmm (69)
- Volume: 267 Å³ per cell
- E_tot: -0.075 Ha/atom

a = 5.563 Å, b = 7.450 Å, c = 7.486 Å
α = 82.03°, β = 68.19°, γ = 68.08°
Positions (direct):
Li (0.013, 0.636, 0.338)
Li (0.284, 0.224, 0.209)
Li (0.716, 0.776, 0.791)
Li (0.351, 0.636, 0.662)
Li (0.492, 0.224, 0.791)
Li (0.987, 0.364, 0.662)
Li (0.649, 0.364, 0.338)
Li (0.508, 0.776, 0.209)
Li (0.500, 0.000, 0.500)
Li (0.000, 0.000, 0.500)
Na (0.000, 0.000, 0.000)
Ag (0.500, 0.500, 0.000)
Ag (0.000, 0.500, 0.000)

[3]
## HoPu2ZrSe4 (GGA-PBE)

Data for HoPu2ZrSe4 after structural relaxation.

- Density: 9.407 g/cm3
- Space-group type: P2/m (10)
- Raw formation energy: -1.49 eV per atom
- Volume: 187 Å³ per cell
- E_tot: -0.311 Ha/atom

a = 4.021 Å, b = 6.986 Å, c = 7.049 Å
α = 109.13°, β = 90.00°, γ = 90.00°
Positions (direct):
Ho (0.000, 0.000, 0.000)
Pu (0.500, 0.000, 0.500)
Pu (0.000, 0.500, 0.500)
Se (0.000, 0.258, 0.761)
Se (0.500, 0.749, 0.759)
Se (0.000, 0.742, 0.239)
Se (0.500, 0.251, 0.241)
Zr (0.500, 0.500, 0.000)

[4]
## La3TeCl3 (GGA-PBE)

Data for La3TeCl3 after structural relaxation.

- Density: 4.430 g/cm3
- Space-group type: R-3 (148)
- Raw formation energy: -1.74 eV per atom
- Volume: 488 Å³ per cell
- E_tot: -0.187 Ha/atom

a = 7.427 Å, b = 7.427 Å, c = 11.076 Å
α = 70.41°, β = 70.41°, γ = 60.00°
Positions (direct):
La (0.940, 0.254, 0.180)
La (0.060, 0.746, 0.820)
La (0.746, 0.374, 0.820)
La (0.374, 0.060, 0.820)
La (0.626, 0.940, 0.180)
La (0.254, 0.626, 0.180)
Te (0.333, 0.333, 0.000)
Te (0.667, 0.667, 0.000)
Cl (0.766, 0.112, 0.662)
Cl (0.460, 0.766, 0.662)
Cl (0.888, 0.540, 0.338)
Cl (0.234, 0.888, 0.338)
Cl (0.540, 0.234, 0.338)
Cl (0.112, 0.460, 0.662)

[5]
## Ce4Th (GGA-PBE)

Data for Ce4Th after structural relaxation.

- ΔE to the lowest computed polymorph: 530.5 meV per atom
- Density: 8.390 g/cm3
- Space-group type: P4/mbm (127)
- Volume: 627 Å³ per cell
- E_tot: -0.209 Ha/atom

a = 5.869 Å, b = 10.339 Å, c = 10.339 Å
α = 90.00°, β = 90.00°, γ = 90.00°
Positions (direct):
Ce (0.232, 0.500, 0.500)
Ce (0.768, 0.500, 0.500)
Ce (0.232, 0.000, 0.000)
Ce (0.500, 0.283, 0.597)
Ce (0.500, 0.717, 0.403)
Ce (0.500, 0.905, 0.595)
Ce (0.500, 0.595, 0.095)
Ce (0.500, 0.403, 0.283)
Ce (0.500, 0.217, 0.097)
Ce (0.500, 0.097, 0.783)
Ce (0.500, 0.783, 0.903)
Ce (0.500, 0.095, 0.405)
Ce (0.500, 0.597, 0.717)
Ce (0.500, 0.903, 0.217)
Ce (0.768, 0.000, 0.000)
Ce (0.500, 0.405, 0.905)
Th (0.000, 0.736, 0.764)
Th (0.000, 0.236, 0.736)
Th (0.000, 0.264, 0.236)
Th (0.000, 0.764, 0.264)

[6]
## ZrU2Fe9 (GGA-PBE)

Data for ZrU2Fe9 after structural relaxation.

- Density: 10.713 g/cm3
- Space-group type: R-3m (166)
- Volume: 166 Å³ per cell
- E_tot: -0.332 Ha/atom

a = 4.806 Å, b = 4.806 Å, c = 8.741 Å
α = 74.04°, β = 74.04°, γ = 60.00°
Positions (direct):
Fe (0.500, 0.500, 0.500)
Fe (0.419, 0.919, 0.243)
Fe (0.333, 0.333, 0.000)
Fe (0.581, 0.581, 0.757)
Fe (0.667, 0.667, 0.000)
Fe (0.919, 0.419, 0.243)
Fe (0.419, 0.419, 0.243)
Fe (0.581, 0.081, 0.757)
Fe (0.081, 0.581, 0.757)
Zr (0.000, 0.000, 0.000)
U (0.854, 0.854, 0.438)
U (0.146, 0.146, 0.562)

[7]
## As3Pt5 (GGA-PBE)

Data for As3Pt5 after structural relaxation.

- ΔE to the lowest computed polymorph: 174.1 meV per atom
- Density: 15.006 g/cm3
- Space-group type: Cmmm (65)
- Volume: 133 Å³ per cell
- E_tot: -0.204 Ha/atom

a = 5.681 Å, b = 5.681 Å, c = 4.251 Å
α = 90.00°, β = 90.00°, γ = 104.50°
Positions (direct):
As (0.808, 0.192, 0.500)
As (0.192, 0.808, 0.500)
As (0.500, 0.500, 0.000)
Pt (0.000, 0.000, 0.000)
Pt (0.000, 0.500, 0.000)
Pt (0.500, 0.000, 0.000)
Pt (0.712, 0.712, 0.500)
Pt (0.288, 0.288, 0.500)

[8]
## DyBeCu (GGA-PBE)

Data for DyBeCu after structural relaxation.

- ΔE to the lowest computed polymorph: 290.4 meV per atom
- Density: 6.838 g/cm3
- Space-group type: P4_12_12 (92)
- Volume: 228 Å³ per cell
- E_tot: -0.146 Ha/atom

a = 6.279 Å, b = 6.279 Å, c = 5.792 Å
α = 90.00°, β = 90.00°, γ = 90.00°
Positions (direct):
Be (0.905, 0.095, 0.750)
Be (0.595, 0.595, 0.500)
Be (0.095, 0.905, 0.250)
Be (0.405, 0.405, 0.000)
Cu (0.838, 0.838, 0.500)
Cu (0.162, 0.162, 0.000)
Cu (0.338, 0.662, 0.250)
Cu (0.662, 0.338, 0.750)
Dy (0.226, 0.774, 0.750)
Dy (0.274, 0.274, 0.500)
Dy (0.774, 0.226, 0.250)
Dy (0.726, 0.726, 0.000)

[9]
## La4Mg2Hg (GGA-PBE)

Data for La4Mg2Hg after structural relaxation.

- Density: 5.634 g/cm3
- Space-group type: I4/mmm (139)
- Volume: 237 Å³ per cell
- E_tot: -0.124 Ha/atom

a = 6.754 Å, b = 6.754 Å, c = 6.754 Å
α = 110.06°, β = 109.18°, γ = 109.18°
Positions (direct):
La (0.000, 0.000, 0.500)
La (0.500, 0.500, 0.500)
La (0.000, 0.500, 0.000)
La (0.500, 0.000, 0.000)
Mg (0.500, 0.000, 0.500)
Mg (0.500, 0.500, 0.000)
Hg (0.000, 0.000, 0.000)

[10]
## La2Y6Tm3Mg (GGA-PBE)

Data for La2Y6Tm3Mg after structural relaxation.

- Density: 5.840 g/cm3
- Space-group type: C2/m (12)
- Volume: 382 Å³ per cell
- E_tot: -0.194 Ha/atom

a = 6.161 Å, b = 6.161 Å, c = 11.798 Å
α = 95.03°, β = 95.03°, γ = 120.04°
Positions (direct):
Y (0.586, 0.916, 0.746)
Y (0.246, 0.246, 0.745)
Y (0.754, 0.754, 0.255)
Y (0.084, 0.414, 0.254)
Y (0.916, 0.586, 0.746)
Y (0.414, 0.084, 0.254)
Tm (0.835, 0.165, 0.500)
Tm (0.165, 0.835, 0.500)
Tm (0.500, 0.500, 0.500)
La (0.333, 0.667, 0.000)
La (0.667, 0.333, 0.000)
Mg (0.000, 0.000, 0.000)

[11]
## CsTaZnOs2 (GGA-PBE)

Data for CsTaZnOs2 after structural relaxation.

- Density: 10.433 g/cm3
- Space-group type: P4/mmm (123)
- Volume: 121 Å³ per cell
- E_tot: -0.134 Ha/atom

a = 4.920 Å, b = 4.995 Å, c = 4.920 Å
α = 90.00°, β = 90.00°, γ = 90.00°
Positions (direct):
Os (0.000, 0.000, 0.500)
Os (0.500, 0.000, 0.000)
Ta (0.000, 0.500, 0.000)
Cs (0.000, 0.000, 0.000)
Zn (0.500, 0.500, 0.500)

[12]
## SrNpTe3Pd (GGA-PBE)

Data for SrNpTe3Pd after structural relaxation.

- Density: 7.200 g/cm3
- Space-group type: P2_1/m (11)
- Raw formation energy: -0.93 eV per atom
- Volume: 375 Å³ per cell
- E_tot: -0.213 Ha/atom

a = 4.395 Å, b = 8.988 Å, c = 9.803 Å
α = 104.22°, β = 90.00°, γ = 90.00°
Positions (direct):
Te (0.750, 0.902, 0.129)
Te (0.750, 0.433, 0.165)
Te (0.750, 0.236, 0.522)
Te (0.250, 0.098, 0.871)
Te (0.250, 0.567, 0.835)
Te (0.250, 0.764, 0.478)
Pd (0.750, 0.912, 0.417)
Pd (0.250, 0.088, 0.583)
Sr (0.750, 0.818, 0.748)
Sr (0.250, 0.182, 0.252)
Np (0.750, 0.322, 0.835)
Np (0.250, 0.678, 0.165)

What did the ninth record say?
## La4Mg2Hg (GGA-PBE)

Data for La4Mg2Hg after structural relaxation.

- Density: 5.634 g/cm3
- Space-group type: I4/mmm (139)
- Volume: 237 Å³ per cell
- E_tot: -0.124 Ha/atom

a = 6.754 Å, b = 6.754 Å, c = 6.754 Å
α = 110.06°, β = 109.18°, γ = 109.18°
Positions (direct):
La (0.000, 0.000, 0.500)
La (0.500, 0.500, 0.500)
La (0.000, 0.500, 0.000)
La (0.500, 0.000, 0.000)
Mg (0.500, 0.000, 0.500)
Mg (0.500, 0.500, 0.000)
Hg (0.000, 0.000, 0.000)

- Number 6 is which compound?
  ZrU2Fe9